Record 1
Entry from the Alexandria database: an optimized crystal structure of LiSnPb (PBE).

Unit cell a=4.777 b=4.777 c=8.768 alpha=74.40 beta=74.40 gamma=59.96
Fractional coordinates of all 6 atoms:
Li: 0.853 0.853 0.941
Li: 0.147 0.147 0.059
Pb: 0.282 0.282 0.649
Pb: 0.718 0.718 0.351
Sn: 0.558 0.558 0.822
Sn: 0.442 0.442 0.178

Output
Total moment ... 0.00 μB per formula unit
E above lowest polymorph ... 0 meV/atom
Total DFT energy (no corrections) ... -3.360 eV/atom


Record 2
Entry from the Alexandria database: an optimized crystal structure of Li2AcPb2 (PBE).

Unit cell a=4.813 b=4.813 c=11.232 alpha=90.00 beta=90.00 gamma=90.00
Fractional coordinates of all 10 atoms:
Pb: 0.750 0.750 0.000
Pb: 0.750 0.250 0.375
Pb: 0.250 0.250 0.000
Pb: 0.250 0.750 0.625
Ac: 0.250 0.750 0.259
Ac: 0.750 0.250 0.741
Li: 0.250 0.250 0.500
Li: 0.250 0.751 0.865
Li: 0.750 0.249 0.135
Li: 0.750 0.750 0.500

Output
Total moment ... 0.00 μB per formula unit
Total DFT energy (no corrections) ... -3.516 eV/atom


Record 3
Entry from the Alexandria database: an optimized crystal structure of RuI3N (PBE).

Unit cell a=4.985 b=4.985 c=4.985 alpha=90.00 beta=90.00 gamma=90.00
Each line ends with the local moment (μB).
Fractional coordinates of all 5 atoms:
I: 0.500 0.000 0.000  0.12
I: 0.000 0.500 0.000  0.17
I: 0.000 0.000 0.500  0.11
N: 0.000 0.000 0.000  -0.06
Ru: 0.500 0.500 0.500  2.72

Output
Raw formation energy ... 7.9 eV/f.u.
Total moment ... 3.42 μB per formula unit
E above lowest polymorph ... 0 meV/atom
Total DFT energy (no corrections) ... -2.864 eV/atom


Record 4
Entry from the Alexandria database: an optimized crystal structure of AlTl4Bi3S8 (PBE).

Unit cell a=8.055 b=8.808 c=8.055 alpha=117.23 beta=120.00 gamma=90.00
Fractional coordinates of all 16 atoms:
S: 0.262 0.285 0.523
S: 0.766 0.693 0.979
S: 0.786 0.307 0.021
S: 0.786 0.307 0.573
S: 0.214 0.693 0.427
S: 0.234 0.307 0.021
S: 0.214 0.693 0.979
S: 0.738 0.715 0.477
Tl: 0.500 0.000 0.000
Tl: 0.000 0.000 0.000
Tl: 0.000 0.000 0.500
Tl: 0.500 0.000 0.500
Bi: 0.500 0.500 0.000
Bi: 0.000 0.500 0.500
Bi: 0.500 0.500 0.500
Al: 0.000 0.500 0.000

Output
Raw formation energy ... -7.6 eV/f.u.
Total moment ... 0.00 μB per formula unit
Total DFT energy (no corrections) ... -4.094 eV/atom


Record 5
Entry from the Alexandria database: an optimized crystal structure of Pr5Nd3Sc2 (PBE).

Unit cell a=13.054 b=9.549 c=8.093 alpha=114.95 beta=108.38 gamma=114.65
Fractional coordinates of all 20 atoms:
Pr: 0.126 0.373 0.252
Pr: 0.526 0.173 0.439
Pr: 0.024 0.678 0.452
Pr: 0.730 0.580 0.059
Pr: 0.270 0.420 0.941
Pr: 0.474 0.827 0.561
Pr: 0.376 0.122 0.753
Pr: 0.976 0.322 0.548
Pr: 0.874 0.627 0.748
Pr: 0.624 0.878 0.247
Sc: 0.073 0.023 0.354
Sc: 0.327 0.780 0.852
Sc: 0.673 0.220 0.148
Sc: 0.927 0.977 0.646
Nd: 0.579 0.530 0.352
Nd: 0.222 0.071 0.047
Nd: 0.778 0.929 0.953
Nd: 0.174 0.729 0.147
Nd: 0.421 0.470 0.648
Nd: 0.826 0.271 0.853

Output
Total moment ... 0.00 μB per formula unit
Total DFT energy (no corrections) ... -5.043 eV/atom


Record 6
Entry from the Alexandria database: an optimized crystal structure of LiYPuSi (PBE).

Unit cell a=4.997 b=4.997 c=4.997 alpha=60.00 beta=60.00 gamma=60.00
Each line ends with the local moment (μB).
Fractional coordinates of all 4 atoms:
Pu: 0.000 0.000 0.000  5.42
Y: 0.500 0.500 0.500  0.20
Si: 0.750 0.750 0.750  -0.06
Li: 0.250 0.250 0.250  0.05

Output
Raw formation energy ... -0.7 eV/f.u.
Total moment ... 6.14 μB per formula unit
Total DFT energy (no corrections) ... -7.219 eV/atom